Record 1
Computed, not measured: Li2AgF3 at its PBEsol-relaxed geometry at the SCAN level of DFT.

## Properties
uncorrected formation energy: -236.4 kJ/mol of atoms

a = 2.8949 Å, b = 2.8949 Å, c = 8.1057 Å
α = 90.00°, β = 90.00°, γ = 120.00°
Space group P-3m1 (No. 164)
Inequivalent atoms, fractional coordinates:
Li 0.3333 0.6667 0.1418 (multiplicity 2)
Ag 0.0000 0.0000 0.5000 (multiplicity 1)
F 0.0000 0.0000 0.0000 (multiplicity 1)
F 0.3333 0.6667 0.7230 (multiplicity 2)



Record 2
Computed, not measured: AsOsW at its PBEsol-relaxed geometry at the SCAN level of DFT.

## Properties
energy: -53.109 eV per atom

a = 5.8059 Å, b = 5.8059 Å, c = 5.8059 Å
α = 90.00°, β = 90.00°, γ = 90.00°
Space group F-43m (No. 216)
Inequivalent atoms, fractional coordinates:
As 0.0000 0.0000 0.0000 (multiplicity 4)
Os 0.2500 0.2500 0.7500 (multiplicity 4)
W 0.2500 0.2500 0.2500 (multiplicity 4)



Record 3
Computed, not measured: TeRh2Br at its PBEsol-relaxed geometry at the SCAN level of DFT.

## Properties
uncorrected formation energy: 32.5 kJ/mol of atoms

a = 4.5936 Å, b = 4.5936 Å, c = 3.2493 Å
α = 90.00°, β = 90.00°, γ = 90.00°
Space group P4/mmm (No. 123)
Inequivalent atoms, fractional coordinates:
Te 0.0000 0.0000 0.0000 (multiplicity 1)
Rh 0.0000 0.5000 0.5000 (multiplicity 2)
Br 0.5000 0.5000 0.0000 (multiplicity 1)



Record 4
Computed, not measured: Y2CoAsPd at its PBEsol-relaxed geometry at the SCAN level of DFT.

## Properties
energy: -25.634 eV per atom

a = 5.0674 Å, b = 5.0674 Å, c = 4.1946 Å
α = 90.00°, β = 90.00°, γ = 90.00°
Space group P4/mmm (No. 123)
Inequivalent atoms, fractional coordinates:
Y 0.0000 0.5000 0.0000 (multiplicity 2)
Co 0.0000 0.0000 0.0000 (multiplicity 1)
As 0.0000 0.0000 0.5000 (multiplicity 1)
Pd 0.5000 0.5000 0.5000 (multiplicity 1)



Record 5
Computed, not measured: AlCd2Re at its PBEsol-relaxed geometry at the SCAN level of DFT.

## Properties
energy: -34.592 eV per atom

a = 9.4388 Å, b = 2.7893 Å, c = 5.2373 Å
α = 90.00°, β = 98.49°, γ = 90.00°
Space group Cm (No. 8)
Inequivalent atoms, fractional coordinates:
Al 0.0000 0.0000 0.0000 (multiplicity 2)
Cd 0.2394 0.0000 0.6971 (multiplicity 2)
Cd 0.4827 0.0000 0.4642 (multiplicity 2)
Re 0.2370 0.5000 0.1813 (multiplicity 2)



Record 6
Computed, not measured: RbNbAsClO5 at its PBEsol-relaxed geometry at the SCAN level of DFT.

## Properties
uncorrected formation energy: -197.4 kJ/mol of atoms

a = 6.7168 Å, b = 6.7168 Å, c = 7.6674 Å
α = 90.00°, β = 90.00°, γ = 90.00°
Space group P4/nmm (No. 129, origin choice 2)
Inequivalent atoms, fractional coordinates:
Rb 0.2500 0.7500 0.0000 (multiplicity 2)
Nb 0.2500 0.2500 0.3954 (multiplicity 2)
As 0.2500 0.7500 0.5000 (multiplicity 2)
Cl 0.2500 0.2500 0.0526 (multiplicity 2)
O 0.0524 0.7500 0.6401 (multiplicity 8)
O 0.2500 0.2500 0.6229 (multiplicity 2)